Here is crystalline YMnIO2 at its relaxed geometry from the Alexandria database. Energies are from PBE+U.

a b c (Å): 4.168 4.168 5.261
angles (deg): 90.00 90.00 90.00
Positions (direct):
O  0.000  0.500  0.000
O  0.500  0.000  0.000
Mn  0.000  0.000  0.000
Y  0.500  0.500  0.500
I  0.000  0.000  0.500

The relative energy among the computed polymorphs comes out at 1.484 eV/f.u. The total energy is -5.967 eV/atom.